Record 1
The following is a PBEsol calculation of a relaxed structure of Rb2BePb, from Alexandria.

```
data_Rb2BePb
_cell_length_a 8.4083
_cell_length_b 8.4083
_cell_length_c 8.4083
_cell_angle_alpha 90.00
_cell_angle_beta 90.00
_cell_angle_gamma 90.00
_symmetry_space_group_name_H-M 'F m -3 m'
_symmetry_Int_Tables_number 225
_symmetry_space_group_name_Hall '-F 4 2 3'
loop_
_atom_site_label
_atom_site_fract_x
_atom_site_fract_y
_atom_site_fract_z
_atom_site_occupancy
Rb1 0.2500 0.2500 0.2500 1
Be1 0.0000 0.0000 0.0000 1
Pb1 0.0000 0.0000 0.5000 1
```

Mass density: 4.3 Mg/m³
VASP energy: -28.1 eV for the cell shown
Fermi-level density of states: 4.7 states/eV/f.u.
V: 37.2 A^3/atom

***

Record 2
The following is a PBEsol calculation of a relaxed structure of YFe2Pt, from Alexandria.

```
data_YFe2Pt
_cell_length_a 3.8862
_cell_length_b 3.8862
_cell_length_c 4.1242
_cell_angle_alpha 90.00
_cell_angle_beta 90.00
_cell_angle_gamma 90.00
_symmetry_space_group_name_H-M 'P 4/m m m'
_symmetry_Int_Tables_number 123
_symmetry_space_group_name_Hall '-P 4 2'
loop_
_atom_site_label
_atom_site_fract_x
_atom_site_fract_y
_atom_site_fract_z
_atom_site_occupancy
Y1 0.0000 0.0000 0.0000 1
Fe1 0.0000 0.5000 0.5000 1
Pt1 0.5000 0.5000 0.0000 1
```

Mass density: 10.5 Mg/m³
VASP energy: -32.2 eV for the cell shown
Fermi-level density of states: 3.9 states/eV/f.u.
V: 15.6 A^3/atom

***

Record 3
The following is a PBEsol calculation of a relaxed structure of MgTe2Au, from Alexandria.

```
data_MgTe2Au
_cell_length_a 4.1287
_cell_length_b 4.1287
_cell_length_c 20.0977
_cell_angle_alpha 90.00
_cell_angle_beta 90.00
_cell_angle_gamma 120.00
_symmetry_space_group_name_H-M 'R -3 m'
_symmetry_Int_Tables_number 166
_symmetry_space_group_name_Hall '-R 3 2"'
loop_
_atom_site_label
_atom_site_fract_x
_atom_site_fract_y
_atom_site_fract_z
_atom_site_occupancy
Mg1 0.0000 0.0000 0.0000 1
Te1 0.0000 0.0000 0.2463 1
Au1 0.0000 0.0000 0.5000 1
```

Raw formation energy: -27.1 kJ per mole of atoms
Mass density: 8.0 Mg/m³
VASP energy: -41.5 eV for the cell shown
Fermi-level density of states: 2.2 states/eV/f.u.
V: 24.7 A^3/atom

***

Record 4
The following is a PBEsol calculation of a relaxed structure of TcAu2Br, from Alexandria.

```
data_TcAu2Br
_cell_length_a 2.8683
_cell_length_b 4.9988
_cell_length_c 9.9098
_cell_angle_alpha 90.00
_cell_angle_beta 90.00
_cell_angle_gamma 90.00
_symmetry_space_group_name_H-M 'C m m m'
_symmetry_Int_Tables_number 65
_symmetry_space_group_name_Hall '-C 2 2'
loop_
_atom_site_label
_atom_site_fract_x
_atom_site_fract_y
_atom_site_fract_z
_atom_site_occupancy
Tc1 0.0000 0.0000 0.0000 1
Au1 0.0000 0.5000 0.2317 1
Br1 0.0000 0.0000 0.5000 1
```

Raw formation energy: 55.9 kJ per mole of atoms
Offset from the most stable computed form: 57 kJ/mol of formula units
Mass density: 13.4 Mg/m³
VASP energy: -37.3 eV for the cell shown
Fermi-level density of states: 3.2 states/eV/f.u.
V: 17.8 A^3/atom

***

Record 5
The following is a PBEsol calculation of a relaxed structure of YCl, from Alexandria.

```
data_YCl
_cell_length_a 3.9480
_cell_length_b 5.8212
_cell_length_c 9.6259
_cell_angle_alpha 90.00
_cell_angle_beta 90.00
_cell_angle_gamma 90.00
_symmetry_space_group_name_H-M 'C m m e'
_symmetry_Int_Tables_number 67
_symmetry_space_group_name_Hall '-C 2a 2'
loop_
_atom_site_label
_atom_site_fract_x
_atom_site_fract_y
_atom_site_fract_z
_atom_site_occupancy
Y1 0.0000 0.2500 0.1401 1
Cl1 0.0000 0.2500 0.6743 1
```

Raw formation energy: -130.8 kJ per mole of atoms
Mass density: 3.7 Mg/m³
VASP energy: -46.2 eV for the cell shown
Fermi-level density of states: 1.3 states/eV/f.u.
V: 27.7 A^3/atom

***

Record 6
The following is a PBEsol calculation of a relaxed structure of Gd2GaAg, from Alexandria.

```
data_Gd2GaAg
_cell_length_a 7.1693
_cell_length_b 7.1693
_cell_length_c 7.1693
_cell_angle_alpha 90.00
_cell_angle_beta 90.00
_cell_angle_gamma 90.00
_symmetry_space_group_name_H-M 'F m -3 m'
_symmetry_Int_Tables_number 225
_symmetry_space_group_name_Hall '-F 4 2 3'
loop_
_atom_site_label
_atom_site_fract_x
_atom_site_fract_y
_atom_site_fract_z
_atom_site_occupancy
Gd1 0.2500 0.2500 0.2500 1
Ga1 0.0000 0.0000 0.0000 1
Ag1 0.0000 0.0000 0.5000 1
```

Mass density: 8.9 Mg/m³
VASP energy: -149.6 eV for the cell shown
Fermi-level density of states: 4.3 states/eV/f.u.
V: 23.0 A^3/atom

***

Record 7
The following is a PBEsol calculation of a relaxed structure of Sr2SiSe, from Alexandria.

```
data_Sr2SiSe
_cell_length_a 5.0864
_cell_length_b 5.0864
_cell_length_c 8.2587
_cell_angle_alpha 90.00
_cell_angle_beta 90.00
_cell_angle_gamma 90.00
_symmetry_space_group_name_H-M 'I 4/m m m'
_symmetry_Int_Tables_number 139
_symmetry_space_group_name_Hall '-I 4 2'
loop_
_atom_site_label
_atom_site_fract_x
_atom_site_fract_y
_atom_site_fract_z
_atom_site_occupancy
Sr1 0.0000 0.5000 0.2500 1
Si1 0.0000 0.0000 0.0000 1
Se1 0.0000 0.0000 0.5000 1
```

Raw formation energy: -72.9 kJ per mole of atoms
Mass density: 4.4 Mg/m³
VASP energy: -32.6 eV for the cell shown
Fermi-level density of states: 1.9 states/eV/f.u.
V: 26.7 A^3/atom

***

Record 8
The following is a PBEsol calculation of a relaxed structure of Zn2CrSi, from Alexandria.

```
data_Zn2CrSi
_cell_length_a 3.6544
_cell_length_b 3.6544
_cell_length_c 3.8862
_cell_angle_alpha 90.00
_cell_angle_beta 90.00
_cell_angle_gamma 90.00
_symmetry_space_group_name_H-M 'P 4/m m m'
_symmetry_Int_Tables_number 123
_symmetry_space_group_name_Hall '-P 4 2'
loop_
_atom_site_label
_atom_site_fract_x
_atom_site_fract_y
_atom_site_fract_z
_atom_site_occupancy
Zn1 0.0000 0.5000 0.0000 1
Cr1 0.0000 0.0000 0.5000 1
Si1 0.5000 0.5000 0.5000 1
```

Raw formation energy: 3.2 kJ per mole of atoms
Mass density: 6.7 Mg/m³
VASP energy: -19.0 eV for the cell shown
Fermi-level density of states: 2.1 states/eV/f.u.
V: 13.0 A^3/atom